The following is a DFT calculation (GGA-PBE) of a relaxed La2Pm6PrTm crystal.

The structure belongs to space group C2/c (No. 15); the cell edges are 9.220, 15.277 and 10.052 Å and the angles 90.00°, 99.58° and 90.00°. The distinct sites, in fractional coordinates, are La at (0.244, 0.048, 0.042), Pm at (0.071, 0.191, 0.444), Pm at (0.097, 0.396, 0.620), Pm at (0.204, 0.220, 0.811), Pr at (0.000, 0.013, 0.750) and Tm at (0.000, 0.406, 0.250).

As for the calculated total energy: -186.03 eV/cell.